Ac3Y13 after structural relaxation. Source: the Alexandria database, functional PBE.

Unit cell a=7.4568 b=8.6601 c=8.6601 alpha=95.70 beta=90.00 gamma=90.00
Last column: nearest neighbours and their distance in Å.
Element x y z (fractional)
1 Y 0.2521 0.9529 0.5343  10 Y 3.52-3.76, 2 Ac 3.69-3.71
2 Y 0.2510 0.5446 0.4554  11 Y 3.53-3.74, 1 Ac 3.72
3 Y 0.0000 0.2131 0.2935  3 Ac 3.57-3.64, 9 Y 3.59-3.73
4 Y 0.0000 0.7862 0.2138  10 Y 3.54-3.73, 2 Ac 3.74
5 Y 0.2521 0.4657 0.0471  10 Y 3.52-3.76, 2 Ac 3.69-3.71
6 Y 0.7479 0.9529 0.5343  10 Y 3.52-3.76, 2 Ac 3.69-3.71
7 Y 0.7490 0.5446 0.4554  11 Y 3.53-3.74, 1 Ac 3.72
8 Y 0.5000 0.6996 0.7830  10 Y 3.50-3.73, 2 Ac 3.67
9 Y 0.0000 0.7065 0.7869  3 Ac 3.57-3.64, 9 Y 3.59-3.73
10 Y 0.5000 0.7862 0.2138  10 Y 3.52-3.73, 2 Ac 3.72
11 Y 0.7479 0.4657 0.0471  10 Y 3.52-3.76, 2 Ac 3.69-3.71
12 Y 0.5000 0.2170 0.3004  10 Y 3.50-3.73, 2 Ac 3.67
13 Y 0.5000 0.2947 0.7053  8 Y 3.50-3.71, 4 Ac 3.73-3.78
14 Ac 0.0000 0.2943 0.7057  10 Y 3.57-3.73, 2 Ac 3.79
15 Ac 0.2526 0.0379 0.9621  9 Y 3.64-3.78, 3 Ac 3.69-3.79
16 Ac 0.7474 0.0379 0.9621  9 Y 3.64-3.78, 3 Ac 3.69-3.79

Output
Space-group type = No. 38
E_form = 0.5 eV per formula unit
Crystal system = orthorhombic
Uncorrected energy = -5.99 eV per atom

***

HfTlSn2 after structural relaxation. Source: the Alexandria database, functional PBE.

Unit cell a=8.4098 b=8.4098 c=6.6892 alpha=51.05 beta=51.05 gamma=90.00
Last column: nearest neighbours and their distance in Å.
Element x y z (fractional)
1 Hf 0.5000 0.5000 0.0000  4 Sn 2.95, 2 Tl 3.06
2 Hf 0.2500 0.7500 0.5000  4 Sn 2.95, 2 Tl 3.06
3 Tl 0.7500 0.2500 0.5000  2 Hf 3.06, 4 Sn 3.19
4 Tl 0.0000 0.0000 0.0000  2 Hf 3.06, 4 Sn 3.19
5 Sn 0.8750 0.8543 0.7500  2 Hf 2.95, 2 Sn 3.08, 2 Tl 3.19
6 Sn 0.6043 0.1250 0.2500  2 Hf 2.95, 2 Sn 3.08, 2 Tl 3.19
7 Sn 0.1457 0.6250 0.2500  2 Hf 2.95, 2 Sn 3.08, 2 Tl 3.19
8 Sn 0.3750 0.3957 0.7500  2 Hf 2.95, 2 Sn 3.08, 2 Tl 3.19

Output
Space-group type = No. 122
E_form = 1.0 eV per formula unit
Crystal system = tetragonal
Uncorrected energy = -4.84 eV per atom

***

Tb3CeCd2 after structural relaxation. Source: the Alexandria database, functional PBE.

Unit cell a=3.5874 b=3.5874 c=12.8350 alpha=90.00 beta=90.00 gamma=90.00
Last column: nearest neighbours and their distance in Å.
Element x y z (fractional)
1 Cd 0.5000 0.5000 0.1595  8 Tb 3.25-3.26, 4 Cd 3.59
2 Cd 0.5000 0.5000 0.8405  8 Tb 3.25-3.26, 4 Cd 3.59
3 Tb 0.0000 0.0000 0.3182  4 Cd 3.25, 4 Ce 3.45, 4 Tb 3.59
4 Tb 0.0000 0.0000 0.0000  8 Cd 3.26, 4 Tb 3.59
5 Tb 0.0000 0.0000 0.6818  4 Cd 3.25, 4 Ce 3.45, 4 Tb 3.59
6 Ce 0.5000 0.5000 0.5000  8 Tb 3.45, 4 Ce 3.59

Output
Space-group type = No. 123
E_form = -1.1 eV per formula unit
Crystal system = tetragonal
Uncorrected energy = -3.79 eV per atom

***

NiCSe2N after structural relaxation. Source: the Alexandria database, functional PBE.

Unit cell a=4.8248 b=4.8248 c=3.3605 alpha=90.00 beta=90.00 gamma=90.00
Last column: nearest neighbours and their distance in Å.
Element x y z (fractional)
1 N 0.0000 0.0000 0.5000  2 Ni 1.68
2 C 0.5000 0.5000 0.5000  8 Se 2.94
3 Se 0.5000 0.0000 0.0000  2 Ni 2.41
4 Se 0.0000 0.5000 0.0000  2 Ni 2.41
5 Ni 0.0000 0.0000 0.0000  2 N 1.68

Output
Space-group type = No. 123
Crystal system = tetragonal
Uncorrected energy = -4.32 eV per atom
E_form (uncorrected) = 8.7 eV per formula unit

***

LiAcCeIr after structural relaxation. Source: the Alexandria database, functional PBE.

Unit cell a=5.1887 b=5.1887 c=5.1887 alpha=60.00 beta=60.00 gamma=60.00
Last column: nearest neighbours and their distance in Å.
Element x y z (fractional)
1 Ir 0.5000 0.5000 0.5000  4 Ce 3.18, 4 Ac 3.18
2 Ce 0.2500 0.2500 0.2500  4 Li 3.18, 4 Ir 3.18
3 Li 0.0000 0.0000 0.0000  4 Ac 3.18, 4 Ce 3.18
4 Ac 0.7500 0.7500 0.7500  4 Ir 3.18, 4 Li 3.18

Output
Space-group type = No. 216
E_form = -1.0 eV per formula unit
Crystal system = cubic
Uncorrected energy = -5.45 eV per atom

***

Cs2RbCuHg after structural relaxation. Source: the Alexandria database, functional PBE.

Unit cell a=6.5346 b=6.5346 c=6.4052 alpha=90.00 beta=90.00 gamma=90.00
Last column: nearest neighbours and their distance in Å.
Element x y z (fractional)
1 Cs 0.5000 0.0000 0.0000  2 Cu 3.27
2 Cs 0.0000 0.5000 0.0000  2 Cu 3.27
3 Rb 0.0000 0.0000 0.5000  2 Cu 3.20
4 Cu 0.0000 0.0000 0.0000  2 Rb 3.20, 4 Cs 3.27
5 Hg 0.5000 0.5000 0.5000  8 Cs 4.58, 4 Rb 4.62

Output
Space-group type = No. 123
E_form = 1.1 eV per formula unit
Crystal system = tetragonal
Uncorrected energy = -1.20 eV per atom

***

BeReSi3 after structural relaxation. Source: the Alexandria database, functional PBE.

Unit cell a=4.6935 b=4.6935 c=4.6935 alpha=90.00 beta=90.00 gamma=90.00
Last column: nearest neighbours and their distance in Å.
Element x y z (fractional)
1 Be 0.5000 0.5000 0.5000  12 Si 3.32
2 Si 0.5000 0.0000 0.0000  2 Re 2.35
3 Si 0.0000 0.5000 0.0000  2 Re 2.35
4 Si 0.0000 0.0000 0.5000  2 Re 2.35
5 Re 0.0000 0.0000 0.0000  6 Si 2.35

Output
Space-group type = No. 221
Crystal system = cubic
Uncorrected energy = -5.59 eV per atom
E_form (uncorrected) = 4.5 eV per formula unit

***

MnSnAs2Br after structural relaxation. Source: the Alexandria database, functional PBE.

Unit cell a=4.7167 b=4.7167 c=5.4375 alpha=90.00 beta=90.00 gamma=90.00
Last column: nearest neighbours and their distance in Å.
Element x y z (fractional)
1 As 0.5000 0.0000 0.0000  2 Mn 2.36
2 As 0.0000 0.5000 0.0000  2 Mn 2.36
3 Sn 0.5000 0.5000 0.5000  4 Br 3.34, 8 As 3.60
4 Br 0.0000 0.0000 0.5000  2 Mn 2.72
5 Mn 0.0000 0.0000 0.0000  4 As 2.36

Output
Space-group type = No. 123
Crystal system = tetragonal
Uncorrected energy = -4.62 eV per atom
E_form (uncorrected) = 1.0 eV per formula unit

***

AlRu2Rh after structural relaxation. Source: the Alexandria database, functional PBE.

Unit cell a=5.7090 b=5.7090 c=6.5432 alpha=64.13 beta=64.13 gamma=90.00
Last column: nearest neighbours and their distance in Å.
Element x y z (fractional)
1 Al 0.2500 0.7500 0.5000  4 Ru 2.43
2 Al 0.5000 0.5000 0.0000  4 Ru 2.43
3 Rh 0.7500 0.2500 0.5000  4 Ru 2.36
4 Rh 0.0000 0.0000 0.0000  4 Ru 2.36
5 Ru 0.1159 0.6250 0.2500  2 Rh 2.36, 2 Al 2.43
6 Ru 0.6341 0.1250 0.2500  2 Rh 2.36, 2 Al 2.43
7 Ru 0.8750 0.8841 0.7500  2 Rh 2.36, 2 Al 2.43
8 Ru 0.3750 0.3659 0.7500  2 Rh 2.36, 2 Al 2.43

Output
Space-group type = No. 122
E_form = 4.3 eV per formula unit
Crystal system = tetragonal
Uncorrected energy = -6.33 eV per atom

***

AlRuIO2 after structural relaxation. Source: the Alexandria database, functional PBE.

Unit cell a=3.6757 b=3.6757 c=6.5513 alpha=90.00 beta=90.00 gamma=90.00
Last column: nearest neighbours and their distance in Å.
Element x y z (fractional)
1 O 0.5000 0.0000 0.0000  2 Al 1.84
2 O 0.0000 0.5000 0.0000  2 Al 1.84
3 I 0.0000 0.0000 0.5000  4 Ru 2.60
4 Al 0.0000 0.0000 0.0000  4 O 1.84
5 Ru 0.5000 0.5000 0.5000  4 I 2.60

Output
Space-group type = No. 123
Crystal system = tetragonal
Uncorrected energy = -5.33 eV per atom
E_form (uncorrected) = -2.2 eV per formula unit